## TaInOs (PBE-GGA)

Data for crystalline TaInOs at its relaxed geometry.

- VASP energy: -8.5619 eV per atom

abc: 6.021 6.021 6.021
angles: 150.09 150.09 42.82
Sites, in units of the cell vectors:
In: 0.994 0.994 0.000
Os: 0.319 0.319 0.000
Ta: 0.687 0.687 0.000